This record from Alexandria describes a geometry-optimized HfMn4Pt structure. The functional is PBE.

Lattice parameters (Å, degrees): 4.807 4.807 4.807 60.00 60.00 60.00
Atoms (fractional coordinates):
1 Mn 0.628 0.628 0.117
2 Mn 0.628 0.117 0.628
3 Mn 0.628 0.628 0.628
4 Mn 0.117 0.628 0.628
5 Hf 0.250 0.250 0.250
6 Pt 0.000 0.000 0.000

Calculated values
* energy of formation from the pure elements: -0.191 eV/atom
* space group: No. 216
* size of the total moment: 0.00 μB per formula unit
* mass density: 12.5 g/cm³
* E: -53.8 eV/f.u.